# 1
NaHoPb | PBE | relaxed

Properties
Total magnetization: 0.00 μB per cell
Formation energy from the elements: -0.1500 eV per atom
Space group: P3m1, No. 156

```
NaHoPb
1.0
3.5484 0.0000 0.0000
0.0000 5.2294 0.0000
0.0000 -2.6147 4.5288
Pb Na Ho
1 1 1
Direct
0.7205 0.6667 0.3333 Pb
0.9194 0.0000 0.0000 Na
0.3601 0.3333 0.6667 Ho
```

=====

# 2
NaHoPb2 | PBE | relaxed

Properties
Total magnetization: 0.00 μB per cell
Formation energy from the elements: -0.0453 eV per atom
Space group: R3m, No. 160

```
NaHoPb2
1.0
-1.2738 -4.6404 -1.0025
2.1442 -3.7116 2.4057
-4.1297 -2.5124 4.8263
Na Pb Ho
1 2 1
Direct
0.4877 0.4877 0.5368 Na
0.2557 0.2557 0.2330 Pb
0.0801 0.0801 0.7597 Pb
0.6765 0.6765 0.9704 Ho
```

=====

# 3
NaHoPb2 | PBE | relaxed

Properties
Total magnetization: 0.00 μB per cell
Formation energy from the elements: -0.3032 eV per atom
Space group: P4/mmm, No. 123

```
NaHoPb2
1.0
-3.1464 -0.5221 3.1526
-2.4221 -3.1480 -2.9387
2.5552 -3.7645 1.9267
Pb Ho Na
2 1 1
Direct
0.0000 0.5000 0.0000 Pb
0.0000 0.0000 0.5000 Pb
0.5000 0.5000 0.5000 Ho
0.5000 0.0000 0.0000 Na
```

=====

# 4
Na2HoPb9 | PBE | relaxed

Properties
Total magnetization: 0.00 μB per cell
Formation energy from the elements: -0.1682 eV per atom
Space group: P4/mmm, No. 123

```
Na2HoPb9
1.0
4.8578 0.0000 0.0000
0.0000 4.8578 0.0000
0.0000 0.0000 15.0150
Pb Ho Na
9 1 2
Direct
0.0000 0.5000 0.8345 Pb
0.5000 0.0000 0.1655 Pb
0.5000 0.5000 0.3353 Pb
0.5000 0.0000 0.5000 Pb
0.0000 0.5000 0.1655 Pb
0.0000 0.5000 0.5000 Pb
0.5000 0.5000 0.0000 Pb
0.5000 0.5000 0.6647 Pb
0.5000 0.0000 0.8345 Pb
0.0000 0.0000 0.0000 Ho
0.0000 0.0000 0.6684 Na
0.0000 0.0000 0.3316 Na
```

=====

# 5
NaHoPb2 | PBE | relaxed

Properties
Total magnetization: 0.00 μB per cell
Formation energy from the elements: -0.2157 eV per atom
Space group: R-3m, No. 166

```
NaHoPb2
1.0
3.6684 0.0000 0.0000
1.8342 3.1769 0.0000
1.8342 1.0590 10.3142
Pb Na Ho
2 1 1
Direct
0.7493 0.7493 0.7520 Pb
0.2507 0.2507 0.2480 Pb
0.5000 0.5000 0.5000 Na
0.0000 0.0000 0.0000 Ho
```

=====

# 6
Na2HoPb3 | PBE | relaxed

Properties
Total magnetization: 0.00 μB per cell
Formation energy from the elements: -0.2436 eV per atom
Space group: Cmmm, No. 65

```
Na2HoPb3
1.0
5.4099 0.0000 0.0223
2.7050 8.2066 0.0111
-0.0335 0.0000 7.6953
Pb Na Ho
6 4 2
Direct
0.8321 0.3358 0.7590 Pb
0.1679 0.6642 0.2410 Pb
0.1679 0.6642 0.7590 Pb
0.8321 0.3358 0.2410 Pb
0.5000 0.0000 0.7506 Pb
0.5000 0.0000 0.2494 Pb
0.3345 0.3309 0.5000 Na
0.0000 0.0000 0.5000 Na
0.0000 0.0000 0.0000 Na
0.6655 0.6691 0.5000 Na
0.3408 0.3185 0.0000 Ho
0.6592 0.6815 0.0000 Ho
```